No. 1
Here is a crystal of ZrTeMo2 relaxed with PBEsol from the Alexandria database. Energies are from SCAN.

Cell lengths 3.4119, 5.0937, 8.5792 Å; angles 90.00, 90.00, 90.00 degrees
Closest atoms and distances in Å follow each position.
Space group Cmmm (No. 65)
Inequivalent atoms, fractional coordinates:
1 Zr 0.0000 0.0000 0.0000 (multiplicity 2)  4 Mo 2.76, 4 Zr 3.07
2 Te 0.0000 0.0000 0.5000 (multiplicity 2)  4 Mo 2.72
3 Mo 0.0000 0.5000 0.2528 (multiplicity 4)  2 Te 2.72, 2 Zr 2.76

## Properties
Total energy   -33.97 eV per atom
Magnetic moment   0.00 μB/cell
E_form (uncorrected)   0.4596 eV per atom
DOS at the Fermi energy   0.74 states/eV per atom

---

No. 2
Here is a crystal of BaSr2Ca relaxed with PBEsol from the Alexandria database. Energies are from SCAN.

Cell lengths 5.9475, 5.9475, 11.5283 Å; angles 90.00, 90.00, 90.00 degrees
Closest atoms and distances in Å follow each position.
Space group I-4m2 (No. 119)
Inequivalent atoms, fractional coordinates:
1 Ba 0.0000 0.0000 0.0000 (multiplicity 2)  4 Ca 4.14, 8 Sr 4.14-4.21
2 Sr 0.0000 0.0000 0.5000 (multiplicity 2)  4 Ca 4.14, 4 Sr 4.14, 4 Ba 4.21
3 Sr 0.0000 0.5000 0.7500 (multiplicity 2)  4 Ba 4.14, 4 Sr 4.14, 4 Ca 4.21
4 Ca 0.0000 0.5000 0.2500 (multiplicity 2)  4 Ba 4.14, 8 Sr 4.14-4.21

## Properties
Offset from the most stable computed form   0.02 eV per formula unit
Total energy   -23.41 eV per atom
Magnetic moment   1.07 μB/cell
Calculated formation energy   0.031 eV/atom
DOS at the Fermi energy   1.04 states/eV per atom

---

No. 3
Here is a crystal of Ti2ZnH2 relaxed with PBEsol from the Alexandria database. Energies are from SCAN.

Cell lengths 3.3308, 3.3308, 9.0473 Å; angles 90.00, 90.00, 90.00 degrees
Closest atoms and distances in Å follow each position.
Space group I4/mmm (No. 139)
Inequivalent atoms, fractional coordinates:
1 Ti 0.0000 0.0000 0.1526 (multiplicity 4)  4 H 1.88
2 Zn 0.0000 0.0000 0.5000 (multiplicity 2)  8 Ti 2.73, 8 H 2.81
3 H 0.0000 0.5000 0.2500 (multiplicity 4)  4 Ti 1.88

## Properties
Total energy   -10.92 eV per atom
Magnetic moment   0.82 μB/cell
DOS at the Fermi energy   0.58 states/eV per atom